Run 1
Compound: NaNb
Source: Alexandria
Functional: PBE-GGA
Structure: relaxed

Cell: 6.0217 16.0869 2.9980 Å, 90.00 90.00 90.00°
Space group Cmmm (No. 65)
Symmetry-distinct sites (fractional):
Na1 0.0000 0.0000 0.0000 [2 per cell]
Na2 0.0000 0.1822 0.5000 [4 per cell]
Nb1 0.0000 0.3681 0.0000 [4 per cell]
Nb2 0.0000 0.5000 0.5000 [2 per cell]

Results
volume: 290.4 Å³/cell

Run 2
Compound: NaNb
Source: Alexandria
Functional: PBE-GGA
Structure: relaxed

Cell: 2.6178 5.0281 6.7514 Å, 90.00 93.28 90.00°
Space group P2_1/m (No. 11)
Symmetry-distinct sites (fractional):
Na1 0.2189 0.2500 0.3854 [2 per cell]
Nb1 0.2662 0.7500 0.0695 [2 per cell]

Results
volume: 88.7 Å³/cell

Most stable structure, least stable structure: run 2, run 1.

Run 1
Compound: NaNb
Source: Alexandria
Functional: PBE-GGA
Structure: relaxed

Cell: 5.7217 5.7217 5.7217 Å, 90.00 90.00 90.00°
Space group Fm-3m (No. 225)
Symmetry-distinct sites (fractional):
Na1 0.0000 0.0000 0.0000 [4 per cell]
Nb1 0.0000 0.0000 0.5000 [4 per cell]

Results
volume: 187.3 Å³/cell

Run 2
Compound: NaNb
Source: Alexandria
Functional: PBE-GGA
Structure: relaxed

Cell: 6.2304 6.2304 9.1453 Å, 90.00 90.00 90.00°
Space group P4_12_12 (No. 92)
Symmetry-distinct sites (fractional):
Na1 0.0206 0.1963 0.3652 [8 per cell]
Nb1 0.0975 0.3104 0.9213 [8 per cell]

Results
volume: 355.0 Å³/cell

Most stable structure, least stable structure: run 2, run 1.

Run 1
Compound: NaNb3Ni
Source: Alexandria
Functional: PBE-GGA
Structure: relaxed

Cell: 4.6209 4.6209 4.6209 Å, 90.00 90.00 90.00°
Space group Pm-3m (No. 221)
Symmetry-distinct sites (fractional):
Na1 0.0000 0.0000 0.0000 [1 per cell]
Nb1 0.0000 0.0000 0.5000 [3 per cell]
Ni1 0.5000 0.5000 0.5000 [1 per cell]

Results
volume: 98.7 Å³/cell

Run 2
Compound: NaNb3Ni
Source: Alexandria
Functional: PBE-GGA
Structure: relaxed

Cell: 4.7297 4.7297 4.7297 Å, 90.00 90.00 90.00°
Space group Pm-3m (No. 221)
Symmetry-distinct sites (fractional):
Na1 0.0000 0.0000 0.0000 [1 per cell]
Nb1 0.0000 0.5000 0.5000 [3 per cell]
Ni1 0.5000 0.5000 0.5000 [1 per cell]

Results
volume: 105.8 Å³/cell

Most stable structure, least stable structure: run 2, run 1.